VASP calculation (PBE-GGA) on crystalline Y2TeOs at its relaxed geometry.

a = 7.8692 Å, b = 7.8692 Å, c = 6.7010 Å
α = 90.00°, β = 90.00°, γ = 90.00°
Space group I-42d (No. 122)
Symmetry-distinct sites (fractional):
Y  0.2062  0.2500  0.1250
Te  0.0000  0.0000  0.5000
Os  0.0000  0.0000  0.0000

## Properties
As for the crystal system: tetragonal. The calculation puts the formation energy from raw total energies at -48 kJ/mol of formula units. The volume comes out at 25.9 Å³ per atom.


VASP calculation (PBE-GGA) on crystalline LiMgMoAu2 at its relaxed geometry.

a = 4.4728 Å, b = 4.4728 Å, c = 4.4485 Å
α = 90.00°, β = 90.00°, γ = 90.00°
Space group P4/mmm (No. 123)
Symmetry-distinct sites (fractional):
Li  0.0000  0.0000  0.0000
Mg  0.5000  0.5000  0.5000
Mo  0.0000  0.0000  0.5000
Au  0.0000  0.5000  0.0000

## Properties
The calculation puts the formation energy from the elements at 0.567 eV/atom. As for the crystal system: tetragonal. The volume comes out at 17.8 Å³ per atom.


VASP calculation (PBE-GGA) on crystalline K2SbTe2 at its relaxed geometry.

a = 8.5072 Å, b = 8.5072 Å, c = 5.0324 Å
α = 90.00°, β = 90.00°, γ = 90.00°
Space group P4/mbm (No. 127)
Symmetry-distinct sites (fractional):
K  0.1402  0.3598  0.0000
Sb  0.0000  0.0000  0.5000
Te  0.1731  0.6731  0.5000

## Properties
As for the crystal system: tetragonal. The calculation puts the formation energy from raw total energies at -270 kJ/mol of formula units. The volume comes out at 36.4 Å³ per atom.


VASP calculation (PBE-GGA) on crystalline CaCuO2 at its relaxed geometry.

a = 3.2029 Å, b = 11.1351 Å, c = 5.4603 Å
α = 90.00°, β = 90.03°, γ = 90.00°
Space group P2_1 (No. 4)
Symmetry-distinct sites (fractional):
Ca  0.0033  0.0000  0.2744
Ca  0.0060  0.2746  0.2256
Cu  0.4916  0.7592  0.2650
Cu  0.4931  0.5155  0.2350
O  0.4831  0.6434  0.9935
O  0.4858  0.6312  0.5067
O  0.4972  0.8830  0.5233
O  0.4996  0.3916  0.9767

## Properties
As for the crystal system: monoclinic. The calculation puts the formation energy from raw total energies at -665 kJ/mol of formula units. The volume comes out at 12.2 Å³ per atom.


VASP calculation (PBE-GGA) on crystalline Ta2TiZnH at its relaxed geometry.

a = 3.9641 Å, b = 3.9641 Å, c = 4.5145 Å
α = 90.00°, β = 90.00°, γ = 90.00°
Space group P4/mmm (No. 123)
Symmetry-distinct sites (fractional):
Ta  0.0000  0.5000  0.0000
Ti  0.0000  0.0000  0.5000
Zn  0.5000  0.5000  0.5000
H  0.5000  0.5000  0.0000

## Properties
As for the crystal system: tetragonal. The value obtained for the uncorrected energy is -7.245 eV per atom. The volume comes out at 14.2 Å³ per atom.